Compound: CsCr2Se2
Source: Alexandria
Functional: PBE-GGA
Structure: optimized geometry

abc: 8.3225 8.3225 8.3225
angles: 153.67 153.67 37.58
With the nearest neighbours (Å) after each atom.
Atoms (fractional coordinates):
Cs (0.0000, 0.0000, 0.0000)  8 Se 3.60, 4 Cs 3.79
Cr (0.2500, 0.7500, 0.5000)  4 Se 2.44, 4 Cr 2.68
Cr (0.7500, 0.2500, 0.5000)  4 Se 2.44, 4 Cr 2.68
Se (0.3474, 0.3474, 0.0000)  4 Cr 2.44
Se (0.6526, 0.6526, 0.0000)  4 Cr 2.44

## Properties
- distance to the lowest polymorph of the same formula (eV per formula unit) = 0.00
- formation energy (no corrections) (kJ/mol of formula units) = -209



Compound: SrH2F2
Source: Alexandria
Functional: PBE-GGA
Structure: optimized geometry

abc: 5.7854 5.7854 3.2989
angles: 90.00 90.00 90.00
With the nearest neighbours (Å) after each atom.
Atoms (fractional coordinates):
Sr (0.0000, 0.0000, 0.0000)  8 F 2.63, 4 H 2.64
Sr (0.5000, 0.5000, 0.0000)  8 F 2.63, 4 H 2.64
H (0.0451, 0.4549, 0.0000)  1 H 0.74
H (0.4549, 0.9549, 0.0000)  1 H 0.74
H (0.5451, 0.0451, 0.0000)  1 H 0.74
H (0.9549, 0.5451, 0.0000)  1 H 0.74
F (0.2458, 0.2542, 0.5000)  2 H 2.33
F (0.2542, 0.7542, 0.5000)  2 H 2.33
F (0.7458, 0.2458, 0.5000)  2 H 2.33
F (0.7542, 0.7458, 0.5000)  2 H 2.33

## Properties
- distance to the lowest polymorph of the same formula (eV per formula unit) = 0.76



Compound: Ac3Nd2TaN6
Source: Alexandria
Functional: PBE-GGA
Structure: optimized geometry

abc: 6.2840 6.2840 6.3735
angles: 99.32 99.32 119.96
With the nearest neighbours (Å) after each atom.
Atoms (fractional coordinates):
Ac (0.0000, 0.0000, 0.0000)  6 N 2.65-2.89
Ac (0.3337, 0.6663, 0.0000)  4 N 2.61-2.64
Ac (0.6663, 0.3337, 0.0000)  4 N 2.61-2.64
Nd (0.1672, 0.8328, 0.5000)  6 N 2.56-2.60
Nd (0.8328, 0.1672, 0.5000)  6 N 2.56-2.60
Ta (0.5000, 0.5000, 0.5000)  6 N 2.21-2.26
N (0.1409, 0.4302, 0.2929)  1 Ta 2.21
N (0.2794, 0.2794, 0.7190)  1 Ta 2.26
N (0.4302, 0.1409, 0.2929)  1 Ta 2.21
N (0.5698, 0.8591, 0.7071)  1 Ta 2.21
N (0.7206, 0.7206, 0.2810)  1 Ta 2.26
N (0.8591, 0.5698, 0.7071)  1 Ta 2.21

## Properties
- formation energy (no corrections) (kJ/mol of formula units) = -1319



Compound: RbReAs2
Source: Alexandria
Functional: PBE-GGA
Structure: optimized geometry

abc: 7.9895 7.9895 7.9895
angles: 131.06 131.06 71.71
With the nearest neighbours (Å) after each atom.
Atoms (fractional coordinates):
Rb (0.3750, 0.6250, 0.7500)  8 As 4.04
Rb (0.6250, 0.3750, 0.2500)  8 As 4.04
Re (0.1250, 0.8750, 0.2500)  4 As 2.31
Re (0.8750, 0.1250, 0.7500)  4 As 2.31
As (0.0000, 0.0000, 0.0000)  2 Re 2.31
As (0.0000, 0.0000, 0.5000)  2 Re 2.31
As (0.0000, 0.5000, 0.0000)  2 Re 2.31
As (0.5000, 0.0000, 0.5000)  2 Re 2.31

## Properties
- distance to the lowest polymorph of the same formula (eV per formula unit) = 0.00
- calculated formation energy (eV/atom) = 0.013



Compound: Zr4SnSe8
Source: Alexandria
Functional: PBE-GGA
Structure: optimized geometry

abc: 8.4369 8.4369 8.4369
angles: 53.11 53.11 53.11
With the nearest neighbours (Å) after each atom.
Atoms (fractional coordinates):
Zr (0.0000, 0.0000, 0.0000)  6 Se 2.72
Zr (0.0000, 0.5000, 0.5000)  6 Se 2.71-2.75
Zr (0.5000, 0.0000, 0.5000)  6 Se 2.71-2.75
Zr (0.5000, 0.5000, 0.0000)  6 Se 2.71-2.75
Sn (0.5000, 0.5000, 0.5000)  6 Se 2.94
Se (0.2418, 0.2418, 0.7464)  3 Zr 2.72-2.75, 1 Sn 2.94
Se (0.2418, 0.7464, 0.2418)  3 Zr 2.72-2.75, 1 Sn 2.94
Se (0.2536, 0.7582, 0.7582)  3 Zr 2.72-2.75, 1 Sn 2.94
Se (0.2593, 0.2593, 0.2593)  3 Zr 2.71
Se (0.7407, 0.7407, 0.7407)  3 Zr 2.71
Se (0.7464, 0.2418, 0.2418)  3 Zr 2.72-2.75, 1 Sn 2.94
Se (0.7582, 0.2536, 0.7582)  3 Zr 2.72-2.75, 1 Sn 2.94
Se (0.7582, 0.7582, 0.2536)  3 Zr 2.72-2.75, 1 Sn 2.94

## Properties
- formation energy (no corrections) (kJ/mol of formula units) = -1506



Compound: RhC2
Source: Alexandria
Functional: PBE-GGA
Structure: optimized geometry

abc: 4.2022 4.2022 2.7465
angles: 90.00 90.00 144.53
With the nearest neighbours (Å) after each atom.
Atoms (fractional coordinates):
Rh (0.0000, 0.0000, 0.0000)  4 C 2.15
C (0.2067, 0.7933, 0.5000)  2 C 1.46
C (0.7933, 0.2067, 0.5000)  2 C 1.46

## Properties
- distance to the lowest polymorph of the same formula (eV per formula unit) = 0.46
- calculated formation energy (eV/atom) = 0.613



no.,total moment (μB per cell)
1,1.92
2,0.00
3,0.00
4,0.00
5,0.00
6,0.00